# 1
A relaxed structure of PmPr3Sm4Te8. Source: Alexandria, functional PBE.

Cell lengths 8.9468, 8.9468, 22.0265 Å; angles 90.00, 90.00, 120.00 degrees
Space group R-3m (No. 166, hexagonal axes)
One atom of each set of equivalent atoms:
Pm 0.0000 0.0000 0.0000
Pr 0.0000 0.5000 0.0000
Sm 0.0000 0.0000 0.5000
Sm 0.0000 0.5000 0.5000
Te 0.0000 0.0000 0.2476
Te 0.0023 0.5012 0.7518

Output
The calculation puts the uncorrected formation energy at -1.403 eV/atom. The crystal system is trigonal.

---

# 2
A relaxed structure of TcOsPd2. Source: Alexandria, functional PBE.

Cell lengths 6.215, 6.215, 6.215 Å; angles 90.00, 90.00, 90.00 degrees
Space group Fm-3m (No. 225)
One atom of each set of equivalent atoms:
Tc 0.000 0.000 0.000
Os 0.000 0.000 0.500
Pd 0.250 0.250 0.250

Output
The crystal system is cubic. The relative energy among the computed polymorphs is 0.000 eV per atom.

---

# 3
A relaxed structure of TbThTcPd. Source: Alexandria, functional PBE.

Cell lengths 7.074, 7.074, 7.074 Å; angles 90.00, 90.00, 90.00 degrees
Space group F-43m (No. 216)
One atom of each set of equivalent atoms:
Tb 0.000 0.000 0.000
Th 0.000 0.000 0.500
Tc 0.250 0.250 0.750
Pd 0.250 0.250 0.250

Output
The final energy is -116.94 eV per cell. The crystal system is cubic.

---

# 4
A relaxed structure of MgRuRh2. Source: Alexandria, functional PBE.

Cell lengths 2.783, 3.802, 5.535 Å; angles 90.00, 90.08, 90.00 degrees
Space group P2/m (No. 10)
One atom of each set of equivalent atoms:
Mg 0.000 0.000 0.000
Ru 0.000 0.000 0.500
Rh 0.500 0.500 0.258

Output
The final energy is -26.02 eV per cell. The crystal system is monoclinic.

---

# 5
A relaxed structure of TbAlSn. Source: Alexandria, functional PBE.

Cell lengths 4.572, 6.985, 8.887 Å; angles 90.00, 90.00, 90.00 degrees
Space group Immm (No. 71)
One atom of each set of equivalent atoms:
Tb 0.000 0.246 0.000
Al 0.000 0.000 0.352
Sn 0.000 0.500 0.319

Output
The final energy is -54.69 eV per cell. The crystal system is orthorhombic.

---

# 6
A relaxed structure of LaTb10Ho4. Source: Alexandria, functional PBE.

Cell lengths 12.739, 12.739, 6.623 Å; angles 90.00, 90.00, 90.00 degrees
Space group I4/m (No. 87)
One atom of each set of equivalent atoms:
La 0.000 0.000 0.000
Tb 0.000 0.500 0.250
Tb 0.129 0.709 0.249
Ho 0.067 0.177 0.500

Output
The final energy is -122.69 eV per cell. The crystal system is tetragonal.

---

# 7
A relaxed structure of YTmPd2. Source: Alexandria, functional PBE.

Cell lengths 3.731, 4.519, 5.583 Å; angles 90.00, 109.59, 90.00 degrees
Space group Pm (No. 6)
One atom of each set of equivalent atoms:
Y 0.000 0.000 0.000
Tm 0.276 0.500 0.551
Pd 0.553 0.500 0.107
Pd 0.726 0.000 0.451

Output
The crystal system is monoclinic. The relative energy among the computed polymorphs is 0.000 eV per atom.

---

# 8
A relaxed structure of Y4TlPd12. Source: Alexandria, functional PBE.

Cell lengths 8.602, 8.602, 8.602 Å; angles 90.00, 90.00, 90.00 degrees
Space group Im-3m (No. 229)
One atom of each set of equivalent atoms:
Y 0.250 0.250 0.250
Tl 0.000 0.000 0.000
Pd 0.000 0.000 0.304
Pd 0.000 0.250 0.500

Output
The final energy is -206.34 eV per cell. The crystal system is cubic.

---

Number 1: calculated density 7.15 Mg/m³, magnetization 0.000 μB per atom. Number 2: calculated density 13.86 Mg/m³, magnetization 0.000 μB per atom. Number 3: calculated density 11.17 Mg/m³, magnetization 0.000 μB per atom. Number 4: calculated density 9.39 Mg/m³, magnetization 0.000 μB per atom. Number 5: calculated density 7.13 Mg/m³, magnetization 0.000 μB per atom. Number 6: calculated density 7.38 Mg/m³, magnetization 0.000 μB per atom. Number 7: calculated density 8.81 Mg/m³, magnetization 0.000 μB per atom. Number 8: calculated density 9.59 Mg/m³, magnetization 0.000 μB per atom.